Record 1
8
Lattice="-5.566 0.199 -1.818 0.261 -2.768 -1.102 3.072 -2.529 7.080" Properties=species:S:1:pos:R:3 comment="PHRuS, optimized geometry, DFT GGA-PBE" total_energy_ev_per_atom=-5.558 mass_density_g_cm3=5.0 m_tot_mub_per_atom=0.000 pbc="T T T"
P -0.800 -1.269 2.996
P -2.205 -1.388 -1.095
H -1.513 -0.871 1.830
H 0.154 -3.520 4.819
Ru 2.508 -2.178 6.063
Ru 1.102 -2.297 1.972
S -4.851 -0.070 -0.973
S -3.184 -2.719 2.016



Record 2
6
Lattice="4.696 0.000 0.004 0.000 3.383 -0.262 -0.009 -2.564 10.778" Properties=species:S:1:pos:R:3 comment="DyYHf, optimized geometry, DFT GGA-PBE" formation_energy_ev_per_atom=0.130 total_energy_ev_per_atom=-6.876 mass_density_g_cm3=8.5 m_tot_mub_per_atom=0.000 pbc="T T T"
Dy 1.628 1.241 1.376
Dy 3.971 -0.003 7.246
Y 1.625 1.540 5.224
Y 3.975 -0.303 3.397
Hf 3.968 0.238 10.349
Hf 1.621 -1.564 9.051



Record 3
14
Lattice="8.640 0.000 0.000 4.320 7.483 0.000 4.320 2.494 7.035" Properties=species:S:1:pos:R:3 comment="RbDy4HoSe8, optimized geometry, DFT GGA-PBE" total_energy_ev_per_atom=-5.420 mass_density_g_cm3=5.6 m_tot_mub_per_atom=0.000 pbc="T T T"
Rb 8.640 4.989 6.142
Dy 8.640 4.989 0.880
Dy 4.320 4.892 3.551
Dy 6.397 1.295 3.551
Dy 2.244 1.295 3.551
Ho 4.320 2.494 6.937
Se 8.640 7.845 5.160
Se 11.114 3.560 5.160
Se 6.167 3.560 5.160
Se 4.320 2.494 2.131
Se 8.640 2.345 1.806
Se 6.351 6.310 1.806
Se 10.930 6.310 1.806
Se 12.961 7.483 5.121